No. 1
Density functional theory data (PBE-GGA) for a relaxed TmNp2In3Te6 crystal.

Unit cell a=7.656 b=7.656 c=8.530 alpha=98.60 beta=98.60 gamma=119.98
Atoms (fractional coordinates):
Te 0.599 0.927 0.782
Te 0.073 0.401 0.218
Te 0.745 0.745 0.220
Te 0.927 0.599 0.782
Te 0.401 0.073 0.218
Te 0.255 0.255 0.780
Np 0.666 0.334 0.000
Np 0.334 0.666 0.000
In 0.500 0.500 0.500
In 0.168 0.832 0.500
In 0.832 0.168 0.500
Tm 0.000 0.000 0.000

Calculated values
For the total magnetization, the calculation gives 8.0 Bohr magnetons per cell. As for the space group: C2/m (12). For the energy relative to the elements, uncorrected, the calculation gives -0.62 eV/atom.



No. 2
Density functional theory data (PBE-GGA) for a relaxed Y2Er2Tm5 crystal.

Unit cell a=11.570 b=6.658 c=9.950 alpha=109.55 beta=125.55 gamma=90.00
Atoms (fractional coordinates):
Tm 0.792 0.765 0.107
Tm 0.208 0.658 0.893
Tm 0.619 0.748 0.715
Tm 0.815 0.265 0.107
Tm 0.989 0.652 0.500
Tm 0.403 0.533 0.285
Tm 0.597 0.248 0.715
Tm 0.011 0.152 0.500
Tm 0.381 0.033 0.285
Tm 0.185 0.158 0.893
Er 0.734 0.863 0.500
Er 0.500 0.500 0.000
Er 0.000 0.000 0.000
Er 0.266 0.363 0.500
Y 0.636 0.185 0.254
Y 0.364 0.931 0.746
Y 0.118 0.685 0.254
Y 0.882 0.431 0.746

Calculated values
The formation energy is 0.224 eV per atom. For the total magnetization, the calculation gives 0.0 Bohr magnetons per cell. As for the space group: Ima2 (46).



No. 3
Density functional theory data (PBE-GGA) for a relaxed LaGaBi2 crystal.

Unit cell a=5.225 b=5.225 c=8.667 alpha=72.46 beta=72.46 gamma=60.00
Atoms (fractional coordinates):
Ga 0.000 0.000 0.000
Bi 0.893 0.893 0.321
Bi 0.107 0.107 0.679
La 0.500 0.500 0.500

Calculated values
The formation energy is -0.074 eV per atom. For the total magnetization, the calculation gives 0.0 Bohr magnetons per cell. As for the space group: R-3m (166).